1.
# La5Ho4Th PBE-GGA relaxed
data_La5Ho4Th
_space_group_name_H-M_alt 'C 1 2/m 1'
_space_group_IT_number 12
_cell_length_a 18.1843
_cell_length_b 3.5439
_cell_length_c 11.1525
_cell_angle_alpha 90.00
_cell_angle_beta 106.33
_cell_angle_gamma 90.00
loop_
_space_group_symop_operation_xyz
'x,y,z'
'-x,-y,-z'
'-x,y,-z'
'x,-y,z'
'x+1/2,y+1/2,z'
'-x+1/2,-y+1/2,-z'
'-x+1/2,y+1/2,-z'
'x+1/2,-y+1/2,z'
loop_
_atom_site_label
_atom_site_fract_x
_atom_site_fract_y
_atom_site_fract_z
La1 0.0000 0.0000 0.0000
La2 0.1027 0.5000 0.7791
La3 0.2031 0.5000 0.1002
Ho1 0.0945 0.5000 0.3190
Ho2 0.1957 0.0000 0.5795
Th1 0.0000 0.0000 0.5000
# - Energy relative to the elements: 0.08 eV per atom

---

2.
# ScTlGe2 PBE-GGA relaxed
data_ScTlGe2
_space_group_name_H-M_alt 'F m -3 m'
_space_group_IT_number 225
_space_group_name_Hall '-F 4 2 3'
_cell_length_a 7.0877
_cell_length_b 7.0877
_cell_length_c 7.0877
_cell_angle_alpha 90.00
_cell_angle_beta 90.00
_cell_angle_gamma 90.00
loop_
_atom_site_label
_atom_site_fract_x
_atom_site_fract_y
_atom_site_fract_z
Sc1 0.0000 0.0000 0.0000
Tl1 0.0000 0.0000 0.5000
Ge1 0.2500 0.2500 0.2500
# - Energy relative to the elements: 0.07 eV per atom

---

3.
# TeH3Pd PBE-GGA relaxed
data_TeH3Pd
_space_group_name_H-M_alt 'P m -3 m'
_space_group_IT_number 221
_space_group_name_Hall '-P 4 2 3'
_cell_length_a 3.9794
_cell_length_b 3.9794
_cell_length_c 3.9794
_cell_angle_alpha 90.00
_cell_angle_beta 90.00
_cell_angle_gamma 90.00
loop_
_atom_site_label
_atom_site_fract_x
_atom_site_fract_y
_atom_site_fract_z
Te1 0.0000 0.0000 0.0000
H1 0.0000 0.0000 0.5000
Pd1 0.5000 0.5000 0.5000
# - E_tot: -2.86 eV/atom

---

The records above give, respectively, total magnetic moment values of 0.0 0.0 0.0 μB per cell.